[1]
The following is a DFT calculation (PBE-GGA) of an optimized crystal structure of BeCdOF2.

Structure (CIF):
```
data_BeCdOF2
_space_group_name_H-M_alt 'P 4/m m m'
_space_group_IT_number 123
_space_group_name_Hall '-P 4 2'
_cell_length_a 4.2481
_cell_length_b 4.2481
_cell_length_c 4.3512
_cell_angle_alpha 90.00
_cell_angle_beta 90.00
_cell_angle_gamma 90.00
loop_
_atom_site_label
_atom_site_fract_x
_atom_site_fract_y
_atom_site_fract_z
Be1 0.0000 0.0000 0.0000
Cd1 0.5000 0.5000 0.5000
O1 0.5000 0.5000 0.0000
F1 0.0000 0.5000 0.5000
```

Properties
* uncorrected energy: -15.97 eV for the cell shown
* excess energy over the best structure of this formula in the dataset: 7.61 eV per formula unit
* V: 78.5 Å³/cell
* DOS(E_F): 0.360 states/eV per atom
* uncorrected formation energy: -0.52 eV/atom


[2]
The following is a DFT calculation (PBE-GGA) of an optimized crystal structure of LiHf2Sn2.

Structure (CIF):
```
data_LiHf2Sn2
_space_group_name_H-M_alt 'P 4/m b m'
_space_group_IT_number 127
_space_group_name_Hall '-P 4 2ab'
_cell_length_a 7.1159
_cell_length_b 7.1159
_cell_length_c 4.2532
_cell_angle_alpha 90.00
_cell_angle_beta 90.00
_cell_angle_gamma 90.00
loop_
_atom_site_label
_atom_site_fract_x
_atom_site_fract_y
_atom_site_fract_z
Li1 0.0000 0.0000 0.0000
Hf1 0.1693 0.3307 0.5000
Sn1 0.1405 0.6405 0.0000
```

Properties
* uncorrected energy: -61.42 eV for the cell shown
* excess energy over the best structure of this formula in the dataset: 0.00 eV per formula unit
* DFT formation energy: -0.177 eV/atom
* V: 215.4 Å³/cell
* DOS(E_F): 0.454 states/eV per atom


[3]
The following is a DFT calculation (PBE-GGA) of an optimized crystal structure of InSiAu.

Structure (CIF):
```
data_InSiAu
_space_group_name_H-M_alt 'C 1 m 1'
_space_group_IT_number 8
_cell_length_a 10.8821
_cell_length_b 6.6687
_cell_length_c 3.8956
_cell_angle_alpha 90.00
_cell_angle_beta 110.60
_cell_angle_gamma 90.00
loop_
_space_group_symop_operation_xyz
'x,y,z'
'x,-y,z'
'x+1/2,y+1/2,z'
'x+1/2,-y+1/2,z'
loop_
_atom_site_label
_atom_site_fract_x
_atom_site_fract_y
_atom_site_fract_z
In1 0.0000 0.0000 0.0000
In2 0.2379 0.0000 0.7404
Si1 0.0244 0.5000 0.5267
Si2 0.1566 0.5000 0.1573
Au1 0.3514 0.2682 0.3530
```

Properties
* uncorrected energy: -46.20 eV for the cell shown
* V: 264.6 Å³/cell
* DOS(E_F): 0.357 states/eV per atom
* uncorrected formation energy: -0.04 eV/atom


[4]
The following is a DFT calculation (PBE-GGA) of an optimized crystal structure of KRbAgCl3.

Structure (CIF):
```
data_KRbAgCl3
_space_group_name_H-M_alt 'P 1 21/m 1'
_space_group_IT_number 11
_cell_length_a 9.4329
_cell_length_b 4.4207
_cell_length_c 10.0122
_cell_angle_alpha 90.00
_cell_angle_beta 101.17
_cell_angle_gamma 90.00
loop_
_space_group_symop_operation_xyz
'x,y,z'
'-x,-y,-z'
'-x,y+1/2,-z'
'x,-y+1/2,z'
loop_
_atom_site_label
_atom_site_fract_x
_atom_site_fract_y
_atom_site_fract_z
K1 0.1488 0.2500 0.1581
Rb1 0.3189 0.7500 0.7976
Ag1 0.4064 0.7500 0.4101
Cl1 0.0815 0.2500 0.8420
Cl2 0.2996 0.2500 0.4930
Cl3 0.3999 0.7500 0.1533
```

Properties
* uncorrected energy: -38.16 eV for the cell shown
* V: 409.6 Å³/cell
* DOS(E_F): 0.000 states/eV per atom
* uncorrected formation energy: -1.44 eV/atom


[5]
The following is a DFT calculation (PBE-GGA) of an optimized crystal structure of CaBi2O6.

Structure (CIF):
```
data_CaBi2O6
_space_group_name_H-M_alt 'P m n 21'
_space_group_IT_number 31
_cell_length_a 8.1555
_cell_length_b 5.9172
_cell_length_c 5.6824
_cell_angle_alpha 90.00
_cell_angle_beta 90.00
_cell_angle_gamma 90.00
loop_
_space_group_symop_operation_xyz
'x,y,z'
'-x+1/2,-y,z+1/2'
'-x,y,z'
'x+1/2,-y,z+1/2'
loop_
_atom_site_label
_atom_site_fract_x
_atom_site_fract_y
_atom_site_fract_z
Ca1 0.0000 0.1761 0.0000
Bi1 0.2502 0.2622 0.4804
O1 0.0000 0.2795 0.6054
O2 0.0000 0.7944 0.8761
O3 0.1888 0.4342 0.1582
O4 0.1929 0.9671 0.2668
```

Properties
* uncorrected energy: -101.24 eV for the cell shown
* V: 274.2 Å³/cell
* uncorrected formation energy: -1.23 eV/atom


[6]
The following is a DFT calculation (PBE-GGA) of an optimized crystal structure of CoTeS3.

Structure (CIF):
```
data_CoTeS3
_space_group_name_H-M_alt 'P m -3 m'
_space_group_IT_number 221
_space_group_name_Hall '-P 4 2 3'
_cell_length_a 4.4594
_cell_length_b 4.4594
_cell_length_c 4.4594
_cell_angle_alpha 90.00
_cell_angle_beta 90.00
_cell_angle_gamma 90.00
loop_
_atom_site_label
_atom_site_fract_x
_atom_site_fract_y
_atom_site_fract_z
Co1 0.0000 0.0000 0.0000
Te1 0.5000 0.5000 0.5000
S1 0.0000 0.0000 0.5000
```

Properties
* uncorrected energy: -20.98 eV for the cell shown
* excess energy over the best structure of this formula in the dataset: 0.00 eV per formula unit
* V: 88.7 Å³/cell
* DOS(E_F): 1.253 states/eV per atom
* uncorrected formation energy: 0.33 eV/atom